Entry from Alexandria via LeMat-Bulk: crystalline SmSiO3 at its relaxed geometry (PBE).

Output
Formation energy (no corrections) ... -2.42 eV per atom
Crystal system ... cubic
Electronic total energy ... -7.42 eV per atom
Density ... 7.019 g/cm³

Cell lengths 3.770, 3.770, 3.770 Å; angles 90.00, 90.00, 90.00 degrees
Space group Pm-3m (No. 221)
Inequivalent atoms, fractional coordinates:
1 Sm 0.000 0.000 0.000 (multiplicity 1)
2 Si 0.500 0.500 0.500 (multiplicity 1)
3 O 0.000 0.500 0.500 (multiplicity 3)